# PBE Tb2SbS6, relaxed
# - Spin magnetization: 0.01 Bohr magnetons per cell
# - Final energy: -47.41 eV per formula unit
data_Tb2SbS6
_cell_length_a 6.4935
_cell_length_b 7.1295
_cell_length_c 10.6471
_cell_angle_alpha 90.00
_cell_angle_beta 124.25
_cell_angle_gamma 90.00
_symmetry_space_group_name_H-M 'P 1 21/c 1'
_symmetry_Int_Tables_number 14
loop_
_symmetry_equiv_pos_as_xyz
'x,y,z'
'-x,-y,-z'
'-x,y+1/2,-z+1/2'
'x,-y+1/2,z+1/2'
loop_
_atom_site_label
_atom_site_type_symbol
_atom_site_fract_x
_atom_site_fract_y
_atom_site_fract_z
Tb1 Tb 0.2063 0.1120 0.2428
Sb1 Sb 0.5000 0.0000 0.0000
S1 S 0.1165 0.1776 0.9363
S2 S 0.2675 0.6881 0.9426
S3 S 0.3836 0.0390 0.7357

# PBE HPd2Pb, relaxed
# - Spin magnetization: 0.00 Bohr magnetons per cell
# - Energy above the most stable polymorph in this dataset: 0.63 eV/f.u.
data_HPd2Pb
_cell_length_a 3.2113
_cell_length_b 3.2113
_cell_length_c 20.0548
_cell_angle_alpha 90.00
_cell_angle_beta 90.00
_cell_angle_gamma 120.00
_symmetry_space_group_name_H-M 'R -3 m'
_symmetry_Int_Tables_number 166
_symmetry_space_group_name_Hall '-R 3 2"'
loop_
_atom_site_label
_atom_site_type_symbol
_atom_site_fract_x
_atom_site_fract_y
_atom_site_fract_z
H1 H 0.0000 0.0000 0.0000
Pd1 Pd 0.0000 0.0000 0.2797
Pb1 Pb 0.0000 0.0000 0.5000

# PBE K2Ni2Sb, relaxed
# - Spin magnetization: 1.19 Bohr magnetons per cell
# - Final energy: -17.03 eV per formula unit
data_K2Ni2Sb
_cell_length_a 6.6012
_cell_length_b 6.6012
_cell_length_c 5.5155
_cell_angle_alpha 90.00
_cell_angle_beta 90.00
_cell_angle_gamma 90.00
_symmetry_space_group_name_H-M 'P 4/m b m'
_symmetry_Int_Tables_number 127
_symmetry_space_group_name_Hall '-P 4 2ab'
loop_
_atom_site_label
_atom_site_type_symbol
_atom_site_fract_x
_atom_site_fract_y
_atom_site_fract_z
K1 K 0.1804 0.3196 0.0000
Ni1 Ni 0.1286 0.6286 0.5000
Sb1 Sb 0.0000 0.0000 0.5000

# PBE Ga2AsO, relaxed
# - Spin magnetization: 0.00 Bohr magnetons per cell
# - Energy above the most stable polymorph in this dataset: 0.00 eV/f.u.
data_Ga2AsO
_cell_length_a 5.1307
_cell_length_b 5.1307
_cell_length_c 11.0653
_cell_angle_alpha 90.00
_cell_angle_beta 90.00
_cell_angle_gamma 90.00
_symmetry_space_group_name_H-M 'I -4 2 d'
_symmetry_Int_Tables_number 122
_symmetry_space_group_name_Hall 'I -4 2bw'
loop_
_atom_site_label
_atom_site_type_symbol
_atom_site_fract_x
_atom_site_fract_y
_atom_site_fract_z
Ga1 Ga 0.1838 0.2500 0.1250
As1 As 0.0000 0.0000 0.5000
O1 O 0.0000 0.0000 0.0000

# PBE LiTmSi2, relaxed
# - Spin magnetization: 0.00 Bohr magnetons per cell
# - Energy above the most stable polymorph in this dataset: 0.32 eV/f.u.
data_LiTmSi2
_cell_length_a 4.2273
_cell_length_b 3.7505
_cell_length_c 5.3665
_cell_angle_alpha 90.00
_cell_angle_beta 113.11
_cell_angle_gamma 90.00
_symmetry_space_group_name_H-M 'P 1 m 1'
_symmetry_Int_Tables_number 6
loop_
_symmetry_equiv_pos_as_xyz
'x,y,z'
'x,-y,z'
loop_
_atom_site_label
_atom_site_type_symbol
_atom_site_fract_x
_atom_site_fract_y
_atom_site_fract_z
Li1 Li 0.0000 0.0000 0.0000
Tm1 Tm 0.7256 0.5000 0.4484
Si1 Si 0.2854 0.0000 0.5679
Si2 Si 0.4355 0.5000 0.8719

# PBE K5Tl6Sb, relaxed
# - Spin magnetization: 0.00 Bohr magnetons per cell
# - Final energy: -24.83 eV per formula unit
data_K5Tl6Sb
_cell_length_a 5.5736
_cell_length_b 15.8615
_cell_length_c 10.7666
_cell_angle_alpha 90.00
_cell_angle_beta 91.65
_cell_angle_gamma 90.00
_symmetry_space_group_name_H-M 'C 1 2/m 1'
_symmetry_Int_Tables_number 12
loop_
_symmetry_equiv_pos_as_xyz
'x,y,z'
'-x,-y,-z'
'-x,y,-z'
'x,-y,z'
'x+1/2,y+1/2,z'
'-x+1/2,-y+1/2,-z'
'-x+1/2,y+1/2,-z'
'x+1/2,-y+1/2,z'
loop_
_atom_site_label
_atom_site_type_symbol
_atom_site_fract_x
_atom_site_fract_y
_atom_site_fract_z
K1 K 0.0000 0.0000 0.0000
K2 K 0.0000 0.3282 0.0000
K3 K 0.0000 0.3434 0.5000
Tl1 Tl 0.9996 0.1209 0.2713
Tl2 Tl 0.0028 0.5000 0.2343
Sb1 Sb 0.0000 0.0000 0.5000

# PBE TbZrBi, relaxed
# - Spin magnetization: 0.00 Bohr magnetons per cell
# - Energy of formation: -16.1 kJ per mole of atoms
data_TbZrBi
_cell_length_a 9.9465
_cell_length_b 5.8231
_cell_length_c 8.5703
_cell_angle_alpha 90.00
_cell_angle_beta 90.00
_cell_angle_gamma 90.00
_symmetry_space_group_name_H-M 'P m n 21'
_symmetry_Int_Tables_number 31
loop_
_symmetry_equiv_pos_as_xyz
'x,y,z'
'-x+1/2,-y,z+1/2'
'-x,y,z'
'x+1/2,-y,z+1/2'
loop_
_atom_site_label
_atom_site_type_symbol
_atom_site_fract_x
_atom_site_fract_y
_atom_site_fract_z
Tb1 Tb 0.0000 0.0761 0.0000
Tb2 Tb 0.1846 0.5989 0.0351
Zr1 Zr 0.0000 0.4685 0.6972
Zr2 Zr 0.1444 0.7838 0.3849
Bi1 Bi 0.0000 0.3113 0.3506
Bi2 Bi 0.1790 0.9196 0.7028

# PBE Y4ZrCu5, relaxed
# - Spin magnetization: 0.50 Bohr magnetons per cell
# - Energy of formation: -19.8 kJ per mole of atoms
data_Y4ZrCu5
_cell_length_a 3.4322
_cell_length_b 3.4322
_cell_length_c 17.3095
_cell_angle_alpha 90.00
_cell_angle_beta 90.00
_cell_angle_gamma 90.00
_symmetry_space_group_name_H-M 'P 4/m m m'
_symmetry_Int_Tables_number 123
_symmetry_space_group_name_Hall '-P 4 2'
loop_
_atom_site_label
_atom_site_type_symbol
_atom_site_fract_x
_atom_site_fract_y
_atom_site_fract_z
Y1 Y 0.0000 0.0000 0.1025
Y2 Y 0.0000 0.0000 0.3069
Zr1 Zr 0.0000 0.0000 0.5000
Cu1 Cu 0.5000 0.5000 0.0000
Cu2 Cu 0.5000 0.5000 0.2046
Cu3 Cu 0.5000 0.5000 0.4165

# PBE PmHf2Nb, relaxed
# - Spin magnetization: 0.00 Bohr magnetons per cell
# - Energy of formation: 13.2 kJ per mole of atoms
# - Energy above the most stable polymorph in this dataset: 0.00 eV/f.u.
data_PmHf2Nb
_cell_length_a 3.5156
_cell_length_b 3.5156
_cell_length_c 7.7372
_cell_angle_alpha 90.00
_cell_angle_beta 90.00
_cell_angle_gamma 90.00
_symmetry_space_group_name_H-M 'P 4/m m m'
_symmetry_Int_Tables_number 123
_symmetry_space_group_name_Hall '-P 4 2'
loop_
_atom_site_label
_atom_site_type_symbol
_atom_site_fract_x
_atom_site_fract_y
_atom_site_fract_z
Pm1 Pm 0.0000 0.0000 0.0000
Hf1 Hf 0.5000 0.5000 0.3001
Nb1 Nb 0.0000 0.0000 0.5000

# PBE Cs3Ag2Hg, relaxed
# - Spin magnetization: 0.00 Bohr magnetons per cell
# - Energy of formation: -5.6 kJ per mole of atoms
data_Cs3Ag2Hg
_cell_length_a 14.7458
_cell_length_b 5.2534
_cell_length_c 15.2284
_cell_angle_alpha 90.00
_cell_angle_beta 90.00
_cell_angle_gamma 90.00
_symmetry_space_group_name_H-M 'P n m a'
_symmetry_Int_Tables_number 62
loop_
_symmetry_equiv_pos_as_xyz
'x,y,z'
'-x,-y,-z'
'-x+1/2,-y,z+1/2'
'x+1/2,y,-z+1/2'
'x+1/2,-y+1/2,-z+1/2'
'-x+1/2,y+1/2,z+1/2'
'-x,y+1/2,-z'
'x,-y+1/2,z'
loop_
_atom_site_label
_atom_site_type_symbol
_atom_site_fract_x
_atom_site_fract_y
_atom_site_fract_z
Cs1 Cs 0.0588 0.2500 0.1239
Cs2 Cs 0.1209 0.7500 0.5553
Cs3 Cs 0.2007 0.2500 0.7978
Ag1 Ag 0.0438 0.7500 0.3201
Ag2 Ag 0.1981 0.7500 0.9763
Hg1 Hg 0.1279 0.2500 0.3690

# PBE Ce2Cu2Sn3, relaxed
# - Spin magnetization: 7.18 Bohr magnetons per cell
# - Energy of formation: -42.8 kJ per mole of atoms
data_Ce2Cu2Sn3
_cell_length_a 4.6732
_cell_length_b 19.8035
_cell_length_c 7.0771
_cell_angle_alpha 90.00
_cell_angle_beta 90.00
_cell_angle_gamma 90.00
_symmetry_space_group_name_H-M 'C m c m'
_symmetry_Int_Tables_number 63
_symmetry_space_group_name_Hall '-C 2c 2'
loop_
_atom_site_label
_atom_site_type_symbol
_atom_site_fract_x
_atom_site_fract_y
_atom_site_fract_z
Ce1 Ce 0.0000 0.0393 0.2500
Ce2 Ce 0.0000 0.1620 0.7500
Cu1 Cu 0.0000 0.2995 0.5582
Sn1 Sn 0.0000 0.2143 0.2500
Sn2 Sn 0.0000 0.4277 0.0458

# PBE PrGdPbAu, relaxed
# - Spin magnetization: 31.75 Bohr magnetons per cell
# - Energy of formation: -60.7 kJ per mole of atoms
data_PrGdPbAu
_cell_length_a 7.6230
_cell_length_b 7.6230
_cell_length_c 7.6230
_cell_angle_alpha 90.00
_cell_angle_beta 90.00
_cell_angle_gamma 90.00
_symmetry_space_group_name_H-M 'F -4 3 m'
_symmetry_Int_Tables_number 216
_symmetry_space_group_name_Hall 'F -4 2 3'
loop_
_atom_site_label
_atom_site_type_symbol
_atom_site_fract_x
_atom_site_fract_y
_atom_site_fract_z
Pr1 Pr 0.0000 0.0000 0.0000
Gd1 Gd 0.0000 0.0000 0.5000
Pb1 Pb 0.2500 0.2500 0.2500
Au1 Au 0.2500 0.2500 0.7500